GGA-PBE CdPdAu3, relaxed; energy above the most stable polymorph in this dataset = 7.11 kJ per mole of atoms; DOS(E_F) = 2.78 states/eV/cell; calculated volume = 18.398 Å³ per atom
1.0
-2.0599 0.9349 1.9610
-8.3443 -4.4902 -4.3050
0.9257 -4.8855 3.3015
Cd Pd Au
2 2 6
direct
0.8063 0.8875 0.7500
0.1937 0.1125 0.2500
0.0004 0.4994 0.7500
0.9996 0.5006 0.2500
0.5917 0.3168 0.0031
0.4083 0.6832 0.9969
0.5917 0.3168 0.4969
0.4083 0.6832 0.5031
0.1886 0.1224 0.7500
0.8114 0.8776 0.2500

GGA-PBE CdPd3Au3, relaxed; E_tot = -3.945 eV per atom; DOS(E_F) = 3.49 states/eV/cell; calculated volume = 17.103 Å³ per atom
1.0
-0.6616 1.4858 4.5006
-0.3414 -7.2253 2.3352
6.6834 3.6142 -0.2108
Cd Pd Au
2 6 6
direct
0.2500 0.6667 0.3333
0.7500 0.3333 0.6667
0.7500 0.6196 0.5261
0.7500 0.4739 0.0935
0.7500 0.9065 0.3804
0.2500 0.3804 0.4739
0.2500 0.5261 0.9065
0.2500 0.0935 0.6196
0.2500 0.8015 0.7596
0.2500 0.2404 0.0419
0.2500 0.9581 0.1985
0.7500 0.1985 0.2404
0.7500 0.7596 0.9581
0.7500 0.0419 0.8015

GGA-PBE Cd9Pd11Au4, relaxed; E_tot = -3.586 eV per atom; DOS(E_F) = 4.11 states/eV/cell; calculated volume = 17.572 Å³ per atom
1.0
-1.6610 0.6703 -2.4384
-1.0014 -11.5728 -2.4989
-9.5963 1.2800 6.8885
Cd Pd Au
9 11 4
direct
0.5000 0.6154 0.1447
0.5000 0.3846 0.8553
0.5000 0.1447 0.6154
0.5000 0.8553 0.3846
0.5000 0.7956 0.9742
0.5000 0.2044 0.0258
0.5000 0.9742 0.7956
0.5000 0.0258 0.2044
0.5000 0.5000 0.5000
0.0000 0.5934 0.9383
0.0000 0.4066 0.0617
0.0000 0.9383 0.5934
0.0000 0.0617 0.4066
0.0000 0.6415 0.3585
0.0000 0.3585 0.6415
0.0000 0.8210 0.1790
0.0000 0.1790 0.8210
0.0000 0.0000 0.0000
0.0000 0.7731 0.7731
0.0000 0.2269 0.2269
0.5000 0.5688 0.7327
0.5000 0.4312 0.2673
0.5000 0.7327 0.5688
0.5000 0.2673 0.4312

GGA-PBE Cd2Pd3Au2, relaxed; energy above the most stable polymorph in this dataset = 7.66 kJ per mole of atoms; DOS(E_F) = 3.29 states/eV/cell; calculated volume = 17.836 Å³ per atom
1.0
2.9147 0.0000 0.0000
0.0000 6.8048 -0.6671
-1.4574 -2.7672 6.5663
Cd Pd Au
2 3 2
direct
0.5704 0.8905 0.1408
0.4296 0.1095 0.8592
0.0000 0.5000 0.0000
0.2175 0.7934 0.4350
0.7825 0.2066 0.5650
0.8549 0.6703 0.7099
0.1451 0.3297 0.2901

GGA-PBE CdPd4Au5, relaxed; energy above the most stable polymorph in this dataset = 0.00 kJ per mole of atoms; DOS(E_F) = 4.02 states/eV/cell; calculated volume = 17.101 Å³ per atom
1.0
4.6072 0.5594 -1.3641
0.1687 5.5939 -1.3445
0.0628 -0.0144 6.6464
Cd Pd Au
1 4 5
direct
0.5000 0.0000 0.0000
0.6977 0.3005 0.3991
0.1009 0.8971 0.2003
0.3023 0.6995 0.6009
0.8991 0.1029 0.7997
0.2966 0.1968 0.5940
0.0984 0.3982 0.2029
0.9016 0.6018 0.7971
0.5000 0.5000 0.0000
0.7034 0.8032 0.4060

GGA-PBE CdPd2Au2, relaxed; energy above the most stable polymorph in this dataset = 8.93 kJ per mole of atoms; DOS(E_F) = 1.45 states/eV/cell; calculated volume = 18.576 Å³ per atom
1.0
6.6744 -0.0001 3.4427
3.3372 3.5446 1.7214
2.9714 -0.0001 5.4585
Cd Pd Au
1 2 2
direct
0.0000 0.0000 0.0000
0.4999 0.0000 0.7813
0.5001 0.0000 0.2187
0.8026 0.3948 0.5000
0.1974 0.6052 0.5000